1.
Here is a relaxed LiPuRu4 crystal from the Alexandria database. Energies are from PBE.

- symmetry = F-43m, No. 216
- energy of formation (eV per atom) = 0.121
- density of states at the Fermi level (states/eV per cell) = 14.61
- total magnetic moment (μB per atom) = 0.55

Cell and atoms, written as POSCAR:
```
LiPuRu4
1.0
0.000 3.689 3.689
3.689 0.000 3.689
3.689 3.689 0.000
Li Pu Ru
1 1 4
Direct
0.000 0.000 0.000
0.750 0.750 0.750
0.375 0.375 0.375
0.375 0.375 0.876
0.375 0.876 0.375
0.876 0.375 0.375
```

2.
Here is a relaxed Pm2BIr2 crystal from the Alexandria database. Energies are from PBE.

- symmetry = Ibam, No. 72
- energy of formation (eV per atom) = -0.584
- density of states at the Fermi level (states/eV per cell) = 3.73
- total magnetic moment (μB per atom) = 0.00

Cell and atoms, written as POSCAR:
```
Pm2BIr2
1.0
-2.999 5.789 2.987
2.999 -5.789 2.987
2.999 5.789 -2.987
Pm B Ir
4 2 4
Direct
0.142 0.176 0.318
0.358 0.676 0.034
0.642 0.324 0.966
0.858 0.824 0.682
0.250 0.750 0.500
0.750 0.250 0.500
0.100 0.667 0.767
0.400 0.167 0.567
0.600 0.833 0.433
0.900 0.333 0.233
```

Look up the energy of formation of the second one.
-0.584 eV per atom

The lowest density of states at the Fermi level belongs to which entry?
Pm2BIr2

Which of these has the lowest total magnetic moment?
Pm2BIr2